Entry 1:
A PBEsol-optimized structure of CaZn3W, computed with SCAN.

**DFT formation energy**: 0.536 eV/atom
**Calculated total energy**: -23.4432 eV per atom

a = 4.8397 Å, b = 4.8397 Å, c = 4.8397 Å
α = 90.00°, β = 90.00°, γ = 90.00°
Last column: nearest neighbours and their distance in Å.
Positions (direct):
Ca 0.0000 0.0000 0.0000  12 Zn 3.42
Zn 0.0000 0.5000 0.5000  2 W 2.42
Zn 0.5000 0.0000 0.5000  2 W 2.42
Zn 0.5000 0.5000 0.0000  2 W 2.42
W 0.5000 0.5000 0.5000  6 Zn 2.42

***

Entry 2:
A PBEsol-optimized structure of CoNi, computed with SCAN.

**DFT formation energy**: -0.010 eV/atom
**Calculated total energy**: -16.7484 eV per atom

a = 4.2281 Å, b = 3.9673 Å, c = 4.9426 Å
α = 90.00°, β = 90.00°, γ = 90.00°
Last column: nearest neighbours and their distance in Å.
Positions (direct):
Co 0.0781 0.2500 0.1251  4 Co 2.43-2.45, 8 Ni 2.43-2.47
Co 0.4219 0.7500 0.6251  4 Co 2.43-2.45, 8 Ni 2.43-2.47
Co 0.5781 0.2500 0.3749  4 Co 2.43-2.45, 8 Ni 2.43-2.47
Co 0.9219 0.7500 0.8749  4 Co 2.43-2.45, 8 Ni 2.43-2.47
Ni 0.0800 0.2500 0.6245  4 Ni 2.43-2.45, 8 Co 2.43-2.47
Ni 0.4200 0.7500 0.1245  4 Ni 2.43-2.45, 8 Co 2.43-2.47
Ni 0.5800 0.2500 0.8755  4 Ni 2.43-2.45, 8 Co 2.43-2.47
Ni 0.9200 0.7500 0.3755  4 Ni 2.43-2.45, 8 Co 2.43-2.47

***

Entry 3:
A PBEsol-optimized structure of TaCdCu2, computed with SCAN.

**DFT formation energy**: 0.235 eV/atom
**Calculated total energy**: -31.6142 eV per atom

a = 4.6648 Å, b = 4.6648 Å, c = 2.7506 Å
α = 90.00°, β = 90.00°, γ = 90.00°
Last column: nearest neighbours and their distance in Å.
Positions (direct):
Ta 0.0000 0.0000 0.0000  8 Cu 2.71, 2 Ta 2.75
Cd 0.5000 0.5000 0.0000  8 Cu 2.71, 2 Cd 2.75
Cu 0.0000 0.5000 0.5000  4 Cd 2.71, 4 Ta 2.71, 2 Cu 2.75
Cu 0.5000 0.0000 0.5000  4 Cd 2.71, 4 Ta 2.71, 2 Cu 2.75

***

Entry 4:
A PBEsol-optimized structure of Ta5Mo3, computed with SCAN.

**DFT formation energy**: -0.073 eV/atom
**Calculated total energy**: -54.7698 eV per atom
**Energy above the lowest structure with this stoichiometry**: 77 meV per atom

a = 3.2042 Å, b = 3.2042 Å, c = 12.9944 Å
α = 90.00°, β = 90.00°, γ = 90.00°
Last column: nearest neighbours and their distance in Å.
Positions (direct):
Ta 0.0000 0.0000 0.0000  8 Ta 2.82
Ta 0.0000 0.0000 0.2604  4 Mo 2.76, 4 Ta 2.84
Ta 0.0000 0.0000 0.7396  4 Mo 2.76, 4 Ta 2.84
Ta 0.5000 0.5000 0.1289  8 Ta 2.82-2.84
Ta 0.5000 0.5000 0.8711  8 Ta 2.82-2.84
Mo 0.0000 0.0000 0.5000  8 Mo 2.74
Mo 0.5000 0.5000 0.3819  4 Mo 2.74, 4 Ta 2.76
Mo 0.5000 0.5000 0.6181  4 Mo 2.74, 4 Ta 2.76

***

Entry 5:
A PBEsol-optimized structure of BaCa2Br, computed with SCAN.

**Calculated total energy**: -20.0792 eV per atom
**ΔE_f (raw)**: -0.4951 eV per atom

a = 7.7764 Å, b = 7.7764 Å, c = 7.7764 Å
α = 143.71°, β = 143.71°, γ = 52.27°
Last column: nearest neighbours and their distance in Å.
Positions (direct):
Ba 0.0000 0.0000 0.0000  4 Br 3.43
Ca 0.2500 0.7500 0.5000  4 Ca 3.43
Ca 0.7500 0.2500 0.5000  4 Ca 3.43
Br 0.5000 0.5000 0.0000  4 Ba 3.43

***

Entry 6:
A PBEsol-optimized structure of MgIr2Rh, computed with SCAN.

**DFT formation energy**: -0.270 eV/atom
**Calculated total energy**: -45.5063 eV per atom

a = 4.6877 Å, b = 4.6877 Å, c = 4.6877 Å
α = 131.48°, β = 131.48°, γ = 71.06°
Last column: nearest neighbours and their distance in Å.
Positions (direct):
Mg 0.0000 0.0000 0.0000  4 Rh 2.71, 8 Ir 2.71-2.72
Ir 0.2500 0.7500 0.5000  4 Ir 2.71, 4 Mg 2.71, 4 Rh 2.72
Ir 0.5000 0.5000 0.0000  4 Ir 2.71, 4 Rh 2.71, 4 Mg 2.72
Rh 0.7500 0.2500 0.5000  4 Mg 2.71, 8 Ir 2.71-2.72

***

Q: Which of these has the highest calculated total energy?
A: CoNi

***

Q: Among the records above, which one has the highest calculated total energy?
A: CoNi

***

Q: What is the calculated total energy in the first record?
A: -23.4432 eV per atom

***

Q: Which of these has the highest calculated total energy?
A: CoNi